PBE NdCdSe, relaxed; total magnetization = 0.0 μB per formula unit; formation energy from raw total energies = -1.084 eV per atom
1.0
2.4670 1.4243 8.0614
-2.4670 1.4243 8.0614
0.0000 -2.8486 8.0614
Nd Cd Se
2 2 2
direct
0.0858 0.0858 0.0858 Nd
0.9142 0.9142 0.9142 Nd
0.3332 0.3332 0.3332 Cd
0.6668 0.6668 0.6668 Cd
0.2134 0.2134 0.2134 Se
0.7866 0.7866 0.7866 Se

=====

PBE Al2BAuI, relaxed; total magnetization = 0.7 μB per formula unit; formation energy from raw total energies = 1.914 eV per atom
1.0
5.8963 0.0000 0.0000
0.0000 5.8963 0.0000
0.0000 0.0000 5.3781
Al B Au I
2 1 1 1
direct
0.0000 0.5000 0.0000 Al
0.5000 0.0000 0.0000 Al
0.0000 0.0000 0.5000 B
0.5000 0.5000 0.5000 Au
0.5000 0.5000 0.0000 I

=====

PBE YSc2PdO, relaxed; total magnetization = 0.0 μB per formula unit; formation energy from raw total energies = -1.487 eV per atom
1.0
4.3414 0.0000 0.0000
0.0000 4.3414 0.0000
0.0000 0.0000 4.8031
Y Sc Pd O
1 2 1 1
direct
0.0000 0.0000 0.0000 Y
0.0000 0.5000 0.5000 Sc
0.5000 0.0000 0.5000 Sc
0.5000 0.5000 0.0000 Pd
0.0000 0.0000 0.5000 O

=====

PBE Ti2Al2Sn, relaxed; formation energy = -56 kJ/mol of formula units; E above lowest polymorph = 22 meV/atom; total magnetization = 0.0 μB per formula unit
1.0
6.9609 0.0000 0.0000
0.0000 6.9609 0.0000
0.0000 0.0000 3.9279
Ti Al Sn
4 4 2
direct
0.1470 0.3530 0.0000 Ti
0.3530 0.8530 0.0000 Ti
0.6470 0.1470 0.0000 Ti
0.8530 0.6470 0.0000 Ti
0.1452 0.6452 0.5000 Al
0.3548 0.1452 0.5000 Al
0.6452 0.8548 0.5000 Al
0.8548 0.3548 0.5000 Al
0.0000 0.0000 0.0000 Sn
0.5000 0.5000 0.0000 Sn

=====

PBE Hg2C, relaxed; formation energy = 521 kJ/mol of formula units; E above lowest polymorph = 1329 meV/atom; total magnetization = 0.0 μB per formula unit
1.0
-1.5396 1.5396 5.6760
1.5396 -1.5396 5.6760
1.5396 1.5396 -5.6760
Hg C
2 1
direct
0.1384 0.1384 0.0000 Hg
0.8616 0.8616 0.0000 Hg
0.5000 0.5000 0.0000 C

=====

PBE Ho5CdRu, relaxed; formation energy = -93 kJ/mol of formula units; total magnetization = 0.0 μB per formula unit
1.0
4.5897 -3.6897 0.0000
4.5897 3.6897 0.0000
-3.2662 0.0000 11.3152
Ho Cd Ru
10 2 2
direct
0.0066 0.9934 0.7500 Ho
0.0820 0.4144 0.6245 Ho
0.2071 0.5451 0.9346 Ho
0.4144 0.0820 0.1245 Ho
0.4549 0.7929 0.5654 Ho
0.5451 0.2071 0.4346 Ho
0.5856 0.9180 0.8755 Ho
0.7929 0.4549 0.0654 Ho
0.9180 0.5856 0.3755 Ho
0.9934 0.0066 0.2500 Ho
0.4043 0.5957 0.2500 Cd
0.5957 0.4043 0.7500 Cd
0.0000 0.0000 0.0000 Ru
0.0000 0.0000 0.5000 Ru

=====

PBE InCoAu4, relaxed; formation energy = 183 kJ/mol of formula units; total magnetization = 1.9 μB per formula unit
1.0
0.0000 3.8889 3.8889
3.8889 0.0000 3.8889
3.8889 3.8889 0.0000
In Co Au
1 1 4
direct
0.0000 0.0000 0.0000 In
0.2500 0.2500 0.2500 Co
0.1260 0.6247 0.6247 Au
0.6247 0.1260 0.6247 Au
0.6247 0.6247 0.1260 Au
0.6247 0.6247 0.6247 Au

=====

PBE SiHgB2, relaxed; E above lowest polymorph = 0 meV/atom; total magnetization = 0.0 μB per formula unit; formation energy from raw total energies = 0.862 eV per atom
1.0
-2.5915 2.5915 4.6551
2.5915 -2.5915 4.6551
2.5915 2.5915 -4.6551
Si Hg B
2 2 4
direct
0.0000 0.0000 0.0000 Si
0.7500 0.2500 0.5000 Si
0.2500 0.7500 0.5000 Hg
0.5000 0.5000 0.0000 Hg
0.0685 0.6250 0.9435 B
0.3750 0.3185 0.4435 B
0.6815 0.1250 0.0565 B
0.8750 0.9315 0.5565 B